No. 1
Here is an optimized crystal structure of Pt3RhCl from Alexandria. Energies are from PBE-GGA.

## Properties
D(E_F) in states/eV/atom: 1.430
Raw total energy in eV/atom: -4.054
Energy above the most stable polymorph in this dataset in eV per atom: 0.223
ΔE_f (raw) in eV/atom: 1.41

Cell and atoms, written as extended XYZ:
```
5
Lattice="4.850 0.000 0.000 0.000 4.850 0.000 0.000 0.000 4.850" Properties=species:S:1:pos:R:3 pbc="T T T"
Pt 0.000 0.000 2.425
Pt 0.000 2.425 0.000
Pt 2.425 0.000 0.000
Rh 0.000 0.000 0.000
Cl 2.425 2.425 2.425
```

=====

No. 2
Here is an optimized crystal structure of PtRhCl from Alexandria. Energies are from PBE-GGA.

## Properties
D(E_F) in states/eV/atom: 1.756
Raw total energy in eV/atom: -4.034
Energy above the most stable polymorph in this dataset in eV per atom: 0.762
ΔE_f (raw) in eV/atom: 1.05

Cell and atoms, written as extended XYZ:
```
3
Lattice="0.000 2.973 2.973 2.973 0.000 2.973 2.973 2.973 0.000" Properties=species:S:1:pos:R:3 pbc="T T T"
Pt 0.000 0.000 0.000
Rh 2.973 2.973 2.973
Cl 4.459 4.459 4.459
```

=====

No. 3
Here is an optimized crystal structure of PtRhCl from Alexandria. Energies are from PBE-GGA.

## Properties
D(E_F) in states/eV/atom: 1.427
Raw total energy in eV/atom: -4.428
Energy above the most stable polymorph in this dataset in eV per atom: 0.368
ΔE_f (raw) in eV/atom: 0.65

Cell and atoms, written as extended XYZ:
```
3
Lattice="0.000 3.067 3.067 3.067 0.000 3.067 3.067 3.067 0.000" Properties=species:S:1:pos:R:3 pbc="T T T"
Pt 0.000 0.000 0.000
Rh 4.600 4.600 4.600
Cl 3.067 3.067 3.067
```

=====

No. 4
Here is an optimized crystal structure of PtRhCl4 from Alexandria. Energies are from PBE-GGA.

## Properties
D(E_F) in states/eV/atom: 1.558
Raw total energy in eV/atom: -2.080
ΔE_f (raw) in eV/atom: 1.38

Cell and atoms, written as extended XYZ:
```
6
Lattice="0.000 3.939 3.939 3.939 0.000 3.939 3.939 3.939 0.000" Properties=species:S:1:pos:R:3 pbc="T T T"
Pt 0.000 0.000 0.000
Rh 5.908 5.908 5.908
Cl 2.953 2.953 2.953
Cl 4.924 4.924 2.953
Cl 4.924 2.953 4.924
Cl 2.953 4.924 4.924
```

=====

> What is the ΔE_f (raw) in the second record?

1.05 eV/atom